{"formula": "GdLuBeNi", "functional": "GGA-PBE", "state": "relaxed", "volume_a3_per_cell": 77, "ef_ev_per_atom": -0.1455, "n_ef_per_ev_atom": 0.706, "lattice_angstrom": [[0.000, 3.372, 3.372], [3.372, 0.000, 3.372], [3.372, 3.372, 0.000]], "species": ["Gd", "Lu", "Be", "Ni"], "fractional_positions": [[0.000, 0.000, 0.000], [0.500, 0.500, 0.500], [0.750, 0.750, 0.750], [0.250, 0.250, 0.250]]}